# PBE+U Sr2MnO4, optimized geometry
data_Sr2MnO4
_cell_length_a 5.6867
_cell_length_b 6.0237
_cell_length_c 6.8965
_cell_angle_alpha 90.00
_cell_angle_beta 107.03
_cell_angle_gamma 90.00
_space_group_name_H-M_alt 'P 1 21/m 1'
_space_group_IT_number 11
_space_group_name_Hall '-P 2yb'
loop_
_atom_site_label
_atom_site_type_symbol
_atom_site_fract_x
_atom_site_fract_y
_atom_site_fract_z
Sr1 Sr 0.0882 0.2500 0.1055
Sr2 Sr 0.2104 0.7500 0.4928
Mn1 Mn 0.3606 0.2500 0.7339
O1 O 0.1590 0.0301 0.7714
O2 O 0.3134 0.7500 0.1728
O3 O 0.3349 0.2500 0.4629
# Energy   -0.23939 hartree per atom
# ΔE to the lowest computed polymorph   159.0 meV/atom